Entry a
Crystalline Y2ReMo at its relaxed geometry. Source: Alexandria via LeMat-Bulk, functional GGA-PBE.

The structure in extended XYZ format:
```
8
Lattice="-2.630 7.363 -0.825 -7.325 -2.453 1.464 -4.571 2.914 3.124" Properties=species:S:1:pos:R:3 pbc="T T T"
Y -3.734 5.113 0.438
Y -7.072 4.057 2.564
Y -12.228 6.452 2.919
Y -6.017 0.026 1.603
Mo -8.437 1.458 2.453
Mo -4.977 2.455 0.319
Re 0.000 0.000 0.000
Re -6.089 6.366 1.309
```



Entry b
Crystalline Y2ReMo at its relaxed geometry. Source: Alexandria via LeMat-Bulk, functional GGA-PBE.

The structure in extended XYZ format:
```
4
Lattice="9.958 -0.023 -0.014 9.423 3.222 -0.014 9.423 1.555 2.822" Properties=species:S:1:pos:R:3 pbc="T T T"
Y 0.406 0.067 0.039
Y 6.853 1.131 0.665
Re 21.951 3.624 2.130
Mo 13.995 2.310 1.358
```



In terms of stability, entry b leads; the second structure lies 0.575 eV/atom higher.



Entry a
Crystalline Y2ReMo at its relaxed geometry. Source: Alexandria via LeMat-Bulk, functional GGA-PBE.

The structure in extended XYZ format:
```
4
Lattice="0.000 3.488 3.488 3.488 0.000 3.488 3.488 3.488 0.000" Properties=species:S:1:pos:R:3 pbc="T T T"
Y 1.744 1.744 1.744
Y 5.232 5.232 5.232
Re 3.488 3.488 3.488
Mo 0.000 0.000 0.000
```



Entry b
Crystalline Y2ReMo at its relaxed geometry. Source: Alexandria via LeMat-Bulk, functional GGA-PBE.

The structure in extended XYZ format:
```
4
Lattice="-1.991 -1.712 1.473 0.090 -0.846 -2.888 6.900 -6.264 2.050" Properties=species:S:1:pos:R:3 pbc="T T T"
Y 3.508 -3.185 1.042
Y 6.842 -6.211 2.033
Re 4.224 -5.977 0.830
Mo 0.774 -2.845 -0.195
```



In terms of stability, entry b leads; the second structure lies 0.021 eV/atom higher.